{
  "formula": "Nd2Sm8Dy3",
  "functional": "PBE",
  "state": "optimized geometry",
  "relative_energy_kj_per_mol_fu": 0.0,
  "formation_enthalpy_0k_mev_per_atom": 15,
  "m_tot_mub_per_atom": 0.000,
  "space_group": "P-1 (2)",
  "cell": [[5.7516, 0.4939, 2.4296], [-0.6327, 5.6961, 5.6960], [-0.3174, 0.8945, 13.9690]],
  "species": ["Dy", "Sm", "Nd", "Sm", "Sm", "Dy", "Dy", "Sm", "Sm", "Sm", "Nd", "Sm", "Sm"],
  "fractional_positions": [[0.0000, 0.0000, 0.0000], [0.8459, 0.2271, 0.6952], [0.2307, 0.1564, 0.4604], [0.3079, 0.5348, 0.6172], [0.6155, 0.0796, 0.2284], [0.4614, 0.3039, 0.9244], [0.5386, 0.6961, 0.0756], [0.1541, 0.7729, 0.3048], [0.0772, 0.3889, 0.1515], [0.6921, 0.4652, 0.3828], [0.7693, 0.8436, 0.5396], [0.3845, 0.9204, 0.7716], [0.9228, 0.6111, 0.8485]]
}